[1]
Entry from Alexandria: an optimized crystal structure of BaNi2Pd2 (GGA-PBE).

Summary:
Polymorph energy (0 for the lowest one)   0 meV/atom

Geometry as CIF:
```
data_BaNi2Pd2
_chemical_formula_sum 'Ba1 Ni2 Pd2'
_cell_length_a 4.3559
_cell_length_b 4.3559
_cell_length_c 5.9533
_cell_angle_alpha 68.54
_cell_angle_beta 68.54
_cell_angle_gamma 90.00
_symmetry_space_group_name_H-M 'P 1'
_symmetry_Int_Tables_number 1
_symmetry_space_group_name_Hall 'P 1'
loop_
_atom_site_label
_atom_site_type_symbol
_atom_site_fract_x
_atom_site_fract_y
_atom_site_fract_z
Ni1 Ni 0.3855 0.3855 0.2289
Ni2 Ni 0.6145 0.6145 0.7711
Pd1 Pd 0.7500 0.2500 0.5000
Ba1 Ba 0.0000 0.0000 0.0000
Pd2 Pd 0.2500 0.7500 0.5000
```

[2]
Entry from Alexandria: an optimized crystal structure of Y3Sc7Rh4 (GGA-PBE).

Geometry as CIF:
```
data_Y3Sc7Rh4
_chemical_formula_sum 'Y3 Sc7 Rh4'
_cell_length_a 3.9051
_cell_length_b 9.0239
_cell_length_c 9.7609
_cell_angle_alpha 70.19
_cell_angle_beta 78.46
_cell_angle_gamma 77.50
_symmetry_space_group_name_H-M 'P 1'
_symmetry_Int_Tables_number 1
_symmetry_space_group_name_Hall 'P 1'
loop_
_atom_site_label
_atom_site_type_symbol
_atom_site_fract_x
_atom_site_fract_y
_atom_site_fract_z
Rh1 Rh 0.8816 0.9134 0.3234
Rh2 Rh 0.6477 0.4390 0.2656
Sc1 Sc 0.6828 0.1581 0.4762
Y1 Y 0.3169 0.1797 0.1866
Sc2 Sc 0.0000 0.0000 0.0000
Sc3 Sc 0.1683 0.5751 0.0882
Rh3 Rh 0.3523 0.5610 0.7344
Y2 Y 0.6831 0.8203 0.8134
Sc4 Sc 0.3172 0.8419 0.5238
Sc5 Sc 0.5074 0.7645 0.2206
Rh4 Rh 0.1184 0.0866 0.6766
Y3 Y 0.0000 0.5000 0.5000
Sc6 Sc 0.8317 0.4249 0.9118
Sc7 Sc 0.4926 0.2355 0.7794
```

| no. | VASP energy (eV/atom) |
| --- | --- |
| 1 | -4.795 |
| 2 | -7.191 |